SrCo2Cl: optimized geometry, GGA-PBE.

- ΔE to the lowest computed polymorph: 0.336 eV per atom
- Raw formation energy: 0.15 eV per atom

a b c (Å): 4.759 4.759 7.898
angles (deg): 72.47 72.47 90.00
Each line ends with the local moment (μB).
Element x y z (fractional)
1 Sr 0.000 0.000 0.000  -0.06
2 Sr 0.750 0.250 0.500  -0.06
3 Co 0.375 0.125 0.250  0.68
4 Co 0.375 0.625 0.250  0.68
5 Co 0.375 0.625 0.750  0.42
6 Co 0.875 0.625 0.750  0.42
7 Cl 0.500 0.500 0.000  -0.01
8 Cl 0.250 0.750 0.500  -0.01

---

NaSrAuO2: optimized geometry, GGA-PBE.

- Raw formation energy: -1.49 eV per atom

a b c (Å): 4.377 5.991 6.689
angles (deg): 101.08 90.00 90.00
Element x y z (fractional)
1 Na 0.486 0.000 0.250
2 Na 0.514 0.000 0.750
3 Sr 0.230 0.500 0.750
4 Sr 0.770 0.500 0.250
5 Au 0.000 0.000 0.000
6 Au 0.000 0.000 0.500
7 O 0.723 0.718 0.956
8 O 0.723 0.282 0.544
9 O 0.277 0.718 0.456
10 O 0.277 0.282 0.044

---

What is the raw formation energy in the second record?
-1.49 eV per atom

---

Which value of raw formation energy does entry 2 give?
-1.49 eV per atom

---

The lowest raw formation energy belongs to which entry?
NaSrAuO2